# SnBiI | the Alexandria database | GGA-PBE | optimized geometry
data_SnBiI
_chemical_formula_sum 'Sn2 Bi2 I2'
_cell_length_a 4.667
_cell_length_b 8.644
_cell_length_c 7.322
_cell_angle_alpha 55.68
_cell_angle_beta 89.99
_cell_angle_gamma 90.01
_symmetry_space_group_name_H-M 'P 1'
_symmetry_Int_Tables_number 1
loop_
_symmetry_equiv_pos_as_xyz
'x,y,z'
loop_
_atom_site_label
_atom_site_type_symbol
_atom_site_fract_x
_atom_site_fract_y
_atom_site_fract_z
Sn1 Sn 0.313 0.219 0.628
Sn2 Sn 0.813 0.939 0.545
Bi1 Bi 0.313 0.797 0.860
Bi2 Bi 0.813 0.361 0.314
I1 I 0.811 0.804 0.269
I2 I 0.311 0.354 0.904
# - Formation energy from raw total energies: -10.8 kJ/mol of atoms
# - Fermi-level density of states: 0.7 states/eV per cell
# - Offset from the most stable computed form: 0 meV/atom
# - Electronic total energy: -3.26 eV/atom
# - Space group: P2_1

# Mg2ReIr | the Alexandria database | GGA-PBE | optimized geometry
data_Mg2ReIr
_chemical_formula_sum 'Mg2 Re1 Ir1'
_cell_length_a 4.853
_cell_length_b 4.853
_cell_length_c 4.900
_cell_angle_alpha 79.18
_cell_angle_beta 79.18
_cell_angle_gamma 33.82
_symmetry_space_group_name_H-M 'P 1'
_symmetry_Int_Tables_number 1
loop_
_symmetry_equiv_pos_as_xyz
'x,y,z'
loop_
_atom_site_label
_atom_site_type_symbol
_atom_site_fract_x
_atom_site_fract_y
_atom_site_fract_z
Re1 Re 0.250 0.250 0.250
Mg1 Mg 0.494 0.494 0.504
Mg2 Mg 0.006 0.006 0.996
Ir1 Ir 0.750 0.750 0.750
# - Fermi-level density of states: 2.8 states/eV per cell
# - Offset from the most stable computed form: 173 meV/atom
# - Electronic total energy: -6.04 eV/atom
# - Space group: C2/m

# TbPuTlGe | the Alexandria database | GGA-PBE | optimized geometry
data_TbPuTlGe
_chemical_formula_sum 'Tb1 Pu1 Tl1 Ge1'
_cell_length_a 5.242
_cell_length_b 5.242
_cell_length_c 5.242
_cell_angle_alpha 60.00
_cell_angle_beta 60.00
_cell_angle_gamma 60.00
_symmetry_space_group_name_H-M 'P 1'
_symmetry_Int_Tables_number 1
loop_
_symmetry_equiv_pos_as_xyz
'x,y,z'
loop_
_atom_site_label
_atom_site_type_symbol
_atom_site_fract_x
_atom_site_fract_y
_atom_site_fract_z
Tb1 Tb 0.250 0.250 0.250
Ge1 Ge 0.500 0.500 0.500
Pu1 Pu 0.750 0.750 0.750
Tl1 Tl 0.000 0.000 0.000
# - Fermi-level density of states: 9.9 states/eV per cell
# - Electronic total energy: -6.77 eV/atom
# - Space group: F-43m

# CeTmNiHg | the Alexandria database | GGA-PBE | optimized geometry
data_CeTmNiHg
_chemical_formula_sum 'Ce1 Tm1 Ni1 Hg1'
_cell_length_a 5.077
_cell_length_b 5.077
_cell_length_c 5.077
_cell_angle_alpha 60.00
_cell_angle_beta 60.00
_cell_angle_gamma 60.00
_symmetry_space_group_name_H-M 'P 1'
_symmetry_Int_Tables_number 1
loop_
_symmetry_equiv_pos_as_xyz
'x,y,z'
loop_
_atom_site_label
_atom_site_type_symbol
_atom_site_fract_x
_atom_site_fract_y
_atom_site_fract_z
Ni1 Ni 0.250 0.250 0.250
Ce1 Ce 0.500 0.500 0.500
Tm1 Tm 0.000 0.000 0.000
Hg1 Hg 0.750 0.750 0.750
# - Fermi-level density of states: 7.7 states/eV per cell
# - Electronic total energy: -4.37 eV/atom
# - Space group: F-43m

# Rb2NpSe2Cl2 | the Alexandria database | GGA-PBE | optimized geometry
data_Rb2NpSe2Cl2
_chemical_formula_sum 'Rb2 Np1 Se2 Cl2'
_cell_length_a 5.530
_cell_length_b 5.530
_cell_length_c 9.234
_cell_angle_alpha 107.43
_cell_angle_beta 107.43
_cell_angle_gamma 90.00
_symmetry_space_group_name_H-M 'P 1'
_symmetry_Int_Tables_number 1
loop_
_symmetry_equiv_pos_as_xyz
'x,y,z'
loop_
_atom_site_label
_atom_site_type_symbol
_atom_site_fract_x
_atom_site_fract_y
_atom_site_fract_z
Cl1 Cl 0.837 0.837 0.674
Cl2 Cl 0.163 0.163 0.326
Rb1 Rb 0.639 0.639 0.279
Rb2 Rb 0.361 0.361 0.721
Se1 Se 0.000 0.500 0.000
Se2 Se 0.500 0.000 0.000
Np1 Np 0.000 0.000 0.000
# - Formation energy from raw total energies: -146.0 kJ/mol of atoms
# - Fermi-level density of states: 13.2 states/eV per cell
# - Electronic total energy: -5.16 eV/atom
# - Space group: I4/mmm

# MgBeS2N | the Alexandria database | GGA-PBE | optimized geometry
data_MgBeS2N
_chemical_formula_sum 'Mg1 Be1 S2 N1'
_cell_length_a 4.758
_cell_length_b 4.758
_cell_length_c 3.152
_cell_angle_alpha 90.00
_cell_angle_beta 90.00
_cell_angle_gamma 90.00
_symmetry_space_group_name_H-M 'P 1'
_symmetry_Int_Tables_number 1
loop_
_symmetry_equiv_pos_as_xyz
'x,y,z'
loop_
_atom_site_label
_atom_site_type_symbol
_atom_site_fract_x
_atom_site_fract_y
_atom_site_fract_z
Be1 Be 0.000 0.000 0.000
S1 S 0.500 0.000 0.000
S2 S 0.000 0.500 0.000
Mg1 Mg 0.500 0.500 0.500
N1 N 0.000 0.000 0.500
# - Formation energy from raw total energies: 11.2 kJ/mol of atoms
# - Fermi-level density of states: 2.4 states/eV per cell
# - Offset from the most stable computed form: 0 meV/atom
# - Electronic total energy: -4.26 eV/atom
# - Space group: P4/mmm

# Pm4Pr5Y2 | the Alexandria database | GGA-PBE | optimized geometry
data_Pm4Pr5Y2
_chemical_formula_sum 'Pm4 Pr5 Y2'
_cell_length_a 3.532
_cell_length_b 9.003
_cell_length_c 12.376
_cell_angle_alpha 97.19
_cell_angle_beta 98.20
_cell_angle_gamma 90.00
_symmetry_space_group_name_H-M 'P 1'
_symmetry_Int_Tables_number 1
loop_
_symmetry_equiv_pos_as_xyz
'x,y,z'
loop_
_atom_site_label
_atom_site_type_symbol
_atom_site_fract_x
_atom_site_fract_y
_atom_site_fract_z
Pr1 Pr 0.860 0.885 0.721
Pr2 Pr 0.500 0.000 0.000
Pr3 Pr 0.231 0.820 0.461
Pr4 Pr 0.140 0.115 0.279
Pr5 Pr 0.769 0.180 0.539
Pm1 Pm 0.323 0.529 0.647
Pm2 Pm 0.677 0.471 0.353
Pm3 Pm 0.046 0.362 0.092
Pm4 Pm 0.954 0.638 0.908
Y1 Y 0.909 0.268 0.818
Y2 Y 0.091 0.732 0.182
# - Fermi-level density of states: 18.0 states/eV per cell
# - Offset from the most stable computed form: 0 meV/atom
# - Electronic total energy: -4.94 eV/atom
# - Space group: C2/m

# LiTbEuOs | the Alexandria database | GGA-PBE | optimized geometry
data_LiTbEuOs
_chemical_formula_sum 'Li1 Tb1 Eu1 Os1'
_cell_length_a 4.971
_cell_length_b 4.971
_cell_length_c 4.971
_cell_angle_alpha 60.00
_cell_angle_beta 60.00
_cell_angle_gamma 60.00
_symmetry_space_group_name_H-M 'P 1'
_symmetry_Int_Tables_number 1
loop_
_symmetry_equiv_pos_as_xyz
'x,y,z'
loop_
_atom_site_label
_atom_site_type_symbol
_atom_site_fract_x
_atom_site_fract_y
_atom_site_fract_z
Tb1 Tb 0.000 0.000 0.000
Os1 Os 0.750 0.750 0.750
Li1 Li 0.250 0.250 0.250
Eu1 Eu 0.500 0.500 0.500
# - Fermi-level density of states: 8.7 states/eV per cell
# - Electronic total energy: -7.01 eV/atom
# - Space group: F-43m

# Nd4Er3Tm | the Alexandria database | GGA-PBE | optimized geometry
data_Nd4Er3Tm
_chemical_formula_sum 'Nd4 Er3 Tm1'
_cell_length_a 5.663
_cell_length_b 3.656
_cell_length_c 13.232
_cell_angle_alpha 90.01
_cell_angle_beta 102.36
_cell_angle_gamma 90.00
_symmetry_space_group_name_H-M 'P 1'
_symmetry_Int_Tables_number 1
loop_
_symmetry_equiv_pos_as_xyz
'x,y,z'
loop_
_atom_site_label
_atom_site_type_symbol
_atom_site_fract_x
_atom_site_fract_y
_atom_site_fract_z
Nd1 Nd 0.277 0.500 0.555
Nd2 Nd 0.723 0.500 0.445
Nd3 Nd 0.601 0.500 0.203
Nd4 Nd 0.399 0.500 0.797
Er1 Er 0.851 0.000 0.701
Er2 Er 0.000 0.500 0.000
Er3 Er 0.149 0.000 0.299
Tm1 Tm 0.500 0.000 0.000
# - Fermi-level density of states: 10.4 states/eV per cell
# - Offset from the most stable computed form: 159 meV/atom
# - Electronic total energy: -4.47 eV/atom
# - Space group: Cmmm

# SrMgP4 | the Alexandria database | GGA-PBE | optimized geometry
data_SrMgP4
_chemical_formula_sum 'Sr1 Mg1 P4'
_cell_length_a 5.496
_cell_length_b 5.496
_cell_length_c 5.496
_cell_angle_alpha 60.00
_cell_angle_beta 60.00
_cell_angle_gamma 60.00
_symmetry_space_group_name_H-M 'P 1'
_symmetry_Int_Tables_number 1
loop_
_symmetry_equiv_pos_as_xyz
'x,y,z'
loop_
_atom_site_label
_atom_site_type_symbol
_atom_site_fract_x
_atom_site_fract_y
_atom_site_fract_z
P1 P 0.361 0.361 0.361
P2 P 0.917 0.361 0.361
P3 P 0.361 0.917 0.361
P4 P 0.361 0.361 0.917
Mg1 Mg 0.000 0.000 0.000
Sr1 Sr 0.750 0.750 0.750
# - Fermi-level density of states: 5.0 states/eV per cell
# - Electronic total energy: -4.16 eV/atom
# - Space group: F-43m

# SrCaTh | the Alexandria database | GGA-PBE | optimized geometry
data_SrCaTh
_chemical_formula_sum 'Sr2 Ca2 Th2'
_cell_length_a 3.790
_cell_length_b 3.790
_cell_length_c 17.112
_cell_angle_alpha 90.00
_cell_angle_beta 90.00
_cell_angle_gamma 90.00
_symmetry_space_group_name_H-M 'P 1'
_symmetry_Int_Tables_number 1
loop_
_symmetry_equiv_pos_as_xyz
'x,y,z'
loop_
_atom_site_label
_atom_site_type_symbol
_atom_site_fract_x
_atom_site_fract_y
_atom_site_fract_z
Th1 Th 0.000 0.500 0.934
Th2 Th 0.500 0.000 0.066
Ca1 Ca 0.500 0.000 0.778
Ca2 Ca 0.000 0.500 0.222
Sr1 Sr 0.000 0.500 0.597
Sr2 Sr 0.500 0.000 0.403
# - Fermi-level density of states: 8.3 states/eV per cell
# - Electronic total energy: -3.57 eV/atom
# - Space group: P4/nmm

# CaLa2CrN4 | the Alexandria database | GGA-PBE | optimized geometry
data_CaLa2CrN4
_chemical_formula_sum 'Ca2 La4 Cr2 N8'
_cell_length_a 3.559
_cell_length_b 6.545
_cell_length_c 12.270
_cell_angle_alpha 90.00
_cell_angle_beta 90.00
_cell_angle_gamma 105.78
_symmetry_space_group_name_H-M 'P 1'
_symmetry_Int_Tables_number 1
loop_
_symmetry_equiv_pos_as_xyz
'x,y,z'
loop_
_atom_site_label
_atom_site_type_symbol
_atom_site_fract_x
_atom_site_fract_y
_atom_site_fract_z
La1 La 0.629 0.259 0.462
La2 La 0.371 0.741 0.538
La3 La 0.371 0.741 0.962
La4 La 0.629 0.259 0.038
Cr1 Cr 0.173 0.345 0.250
Cr2 Cr 0.827 0.655 0.750
N1 N 0.736 0.472 0.635
N2 N 0.613 0.225 0.250
N3 N 0.000 0.000 0.500
N4 N 0.264 0.528 0.135
N5 N 0.387 0.775 0.750
N6 N 0.000 0.000 0.000
N7 N 0.736 0.472 0.865
N8 N 0.264 0.528 0.365
Ca1 Ca 0.866 0.733 0.250
Ca2 Ca 0.134 0.267 0.750
# - Formation energy from raw total energies: -91.5 kJ/mol of atoms
# - Fermi-level density of states: 5.2 states/eV per cell
# - Electronic total energy: -7.80 eV/atom
# - Space group: Cmcm

What is the Fermi-level density of states in the first record?
0.7 states/eV per cell